Compound: LiCu3
Source: the Alexandria database
Functional: PBE-GGA
Structure: optimized geometry

a b c (Å): 5.162 5.162 3.645
angles (deg): 90.00 90.00 89.09
Sites, in units of the cell vectors:
Li 0.125 0.875 0.750
Li 0.875 0.125 0.250
Cu 0.130 0.383 0.750
Cu 0.374 0.626 0.250
Cu 0.383 0.130 0.250
Cu 0.617 0.870 0.750
Cu 0.626 0.374 0.750
Cu 0.870 0.617 0.250

## Properties
**E_tot**: -28.60 eV per cell
**Formation energy**: -24 meV per atom
**Volume**: 97.1 Å³/cell
**Spin magnetization**: 0.00 Bohr magnetons per cell